[1]
The following is a DFT calculation (PBE) of a geometry-optimized Th2Ga4CuNi3 structure.

The space group is P-4m2 (No. 115) and the conventional cell measures 4.199, 4.199 and 9.855 Å, with angles of 90.00, 90.00 and 90.00 degrees. The inequivalent atoms are Th at (0.000, 0.500, 0.248), Ga at (0.000, 0.000, 0.500), Ga at (0.000, 0.500, 0.872), Ga at (0.500, 0.500, 0.500), Cu at (0.500, 0.500, 0.000), Ni at (0.000, 0.000, 0.000) and Ni at (0.000, 0.500, 0.631).

The density comes out at 9.39 g/cm3. As for the total DFT energy (no corrections): -53.9 eV for the cell shown. As for the formation energy: -0.5490 eV/atom. The volume comes out at 173.8 Å³/f.u. The density of states at the Fermi level comes out at 8.67 states/eV/cell.


[2]
The following is a DFT calculation (PBE) of a geometry-optimized LiBe2Fe structure.

The space group is C2/m (No. 12) and the conventional cell measures 7.668, 2.212 and 4.686 Å, with angles of 90.00, 93.70 and 90.00 degrees. The inequivalent atoms are Li at (0.000, 0.000, 0.000), Be at (0.244, 0.000, 0.709) and Fe at (0.000, 0.500, 0.500).

The density comes out at 3.38 g/cm3. As for the total DFT energy (no corrections): -34.3 eV for the cell shown. As for the formation energy: 0.1649 eV/atom. The volume comes out at 39.7 Å³/f.u. The density of states at the Fermi level comes out at 4.02 states/eV/cell.


[3]
The following is a DFT calculation (PBE) of a geometry-optimized HgP2ClO structure.

The space group is P4/mmm (No. 123) and the conventional cell measures 3.925, 3.925 and 6.610 Å, with angles of 90.00, 90.00 and 90.00 degrees. The inequivalent atoms are Hg at (0.000, 0.000, 0.000), P at (0.000, 0.500, 0.500), Cl at (0.500, 0.500, 0.000) and O at (0.500, 0.500, 0.500).

The density comes out at 5.12 g/cm3. Its distance to the lowest polymorph of the same formula is 0.0000 eV per atom. As for the total DFT energy (no corrections): -16.2 eV for the cell shown. The formation energy (no corrections) is 0.35 eV per atom. The volume comes out at 101.8 Å³/f.u. The density of states at the Fermi level comes out at 3.78 states/eV/cell.


[4]
The following is a DFT calculation (PBE) of a geometry-optimized K2NpS3 structure.

The space group is Cmmm (No. 65) and the conventional cell measures 5.755, 14.843 and 4.132 Å, with angles of 90.00, 90.00 and 90.00 degrees. The inequivalent atoms are K at (0.000, 0.161, 0.000), Np at (0.000, 0.500, 0.500), S at (0.000, 0.000, 0.500) and S at (0.000, 0.383, 0.000).

The density comes out at 3.87 g/cm3. As for the total DFT energy (no corrections): -69.9 eV for the cell shown. The formation energy (no corrections) is -1.24 eV per atom. The volume comes out at 176.5 Å³/f.u. The density of states at the Fermi level comes out at 21.49 states/eV/cell.